1.
# MnCd2O, optimized geometry, DFT PBE with a Hubbard U
# Total moment   9.5 Bohr magnetons per cell
# Total energy   -3.87 eV/atom
data_MnCd2O
_cell_length_a 9.3655
_cell_length_b 9.3655
_cell_length_c 6.9043
_cell_angle_alpha 47.29
_cell_angle_beta 47.29
_cell_angle_gamma 90.00
_symmetry_space_group_name_H-M 'P 1'
_symmetry_Int_Tables_number 1
loop_
_symmetry_equiv_pos_as_xyz
'x,y,z'
loop_
_atom_site_label
_atom_site_type_symbol
_atom_site_fract_x
_atom_site_fract_y
_atom_site_fract_z
O1 O 0.2500 0.7500 0.5000
Cd1 Cd 0.3750 0.4885 0.7500
Mn1 Mn 0.7500 0.2500 0.5000
Cd2 Cd 0.8750 0.7615 0.7500
Mn2 Mn 0.0000 0.0000 0.0000
Cd3 Cd 0.2385 0.6250 0.2500
Cd4 Cd 0.5115 0.1250 0.2500
O2 O 0.5000 0.5000 0.0000

2.
# MnCdO2, optimized geometry, DFT PBE with a Hubbard U
# Total moment   5.0 Bohr magnetons per cell
# Total energy   -5.83 eV/atom
data_MnCdO2
_cell_length_a 3.3500
_cell_length_b 3.3500
_cell_length_c 5.7219
_cell_angle_alpha 90.00
_cell_angle_beta 90.00
_cell_angle_gamma 120.00
_symmetry_space_group_name_H-M 'P 1'
_symmetry_Int_Tables_number 1
loop_
_symmetry_equiv_pos_as_xyz
'x,y,z'
loop_
_atom_site_label
_atom_site_type_symbol
_atom_site_fract_x
_atom_site_fract_y
_atom_site_fract_z
O1 O 0.6667 0.3333 0.2268
Mn1 Mn 0.0000 0.0000 0.9709
O2 O 0.3333 0.6667 0.8154
Cd1 Cd 0.3333 0.6667 0.4419

3.
# Mn3CdO, optimized geometry, DFT PBE with a Hubbard U
# Total moment   13.2 Bohr magnetons per cell
# Polymorph energy (0 for the lowest one)   0.000 eV per formula unit
data_Mn3CdO
_cell_length_a 4.3750
_cell_length_b 4.3750
_cell_length_c 4.3750
_cell_angle_alpha 90.00
_cell_angle_beta 90.00
_cell_angle_gamma 90.00
_symmetry_space_group_name_H-M 'P 1'
_symmetry_Int_Tables_number 1
loop_
_symmetry_equiv_pos_as_xyz
'x,y,z'
loop_
_atom_site_label
_atom_site_type_symbol
_atom_site_fract_x
_atom_site_fract_y
_atom_site_fract_z
Mn1 Mn 0.0000 0.0000 0.5000
Cd1 Cd 0.5000 0.5000 0.5000
Mn2 Mn 0.0000 0.5000 0.0000
Mn3 Mn 0.5000 0.0000 0.0000
O1 O 0.0000 0.0000 0.0000

4.
# MnCd3O4, optimized geometry, DFT PBE with a Hubbard U
# Total moment   10.0 Bohr magnetons per cell
# Total energy   -4.92 eV/atom
data_MnCd3O4
_cell_length_a 5.7793
_cell_length_b 5.7863
_cell_length_c 6.6691
_cell_angle_alpha 90.00
_cell_angle_beta 90.00
_cell_angle_gamma 109.68
_symmetry_space_group_name_H-M 'P 1'
_symmetry_Int_Tables_number 1
loop_
_symmetry_equiv_pos_as_xyz
'x,y,z'
loop_
_atom_site_label
_atom_site_type_symbol
_atom_site_fract_x
_atom_site_fract_y
_atom_site_fract_z
Mn1 Mn 0.2500 0.0000 0.1223
Cd1 Cd 0.7500 0.5000 0.6274
Cd2 Cd 0.2500 0.0000 0.6269
O1 O 0.9894 0.2454 0.6335
Cd3 Cd 0.7500 0.0000 0.3731
O2 O 0.5020 0.2330 0.8836
O3 O 0.9980 0.7670 0.8836
Cd4 Cd 0.7500 0.5000 0.1231
Cd5 Cd 0.2500 0.5000 0.3726
Cd6 Cd 0.2500 0.5000 0.8769
O4 O 0.4980 0.7670 0.1164
O5 O 0.5106 0.7546 0.6335
Mn2 Mn 0.7500 0.0000 0.8777
O6 O 0.0106 0.7546 0.3665
O7 O 0.0020 0.2330 0.1164
O8 O 0.4894 0.2454 0.3665

5.
# MnCdO2, optimized geometry, DFT PBE with a Hubbard U
# Total moment   9.4 Bohr magnetons per cell
# Total energy   -5.65 eV/atom
data_MnCdO2
_cell_length_a 8.5689
_cell_length_b 8.5689
_cell_length_c 3.9973
_cell_angle_alpha 90.00
_cell_angle_beta 90.00
_cell_angle_gamma 157.56
_symmetry_space_group_name_H-M 'P 1'
_symmetry_Int_Tables_number 1
loop_
_symmetry_equiv_pos_as_xyz
'x,y,z'
loop_
_atom_site_label
_atom_site_type_symbol
_atom_site_fract_x
_atom_site_fract_y
_atom_site_fract_z
O1 O 0.0604 0.9396 0.7500
Cd1 Cd 0.3203 0.6797 0.2500
Mn1 Mn 0.0660 0.9340 0.2500
Mn2 Mn 0.9340 0.0660 0.7500
Cd2 Cd 0.6797 0.3203 0.7500
O2 O 0.1866 0.8134 0.2500
O3 O 0.9396 0.0604 0.2500
O4 O 0.8134 0.1866 0.7500

6.
# Mn2CdO, optimized geometry, DFT PBE with a Hubbard U
# Total moment   9.4 Bohr magnetons per cell
# Polymorph energy (0 for the lowest one)   3.074 eV per formula unit
data_Mn2CdO
_cell_length_a 4.5680
_cell_length_b 4.5680
_cell_length_c 4.5680
_cell_angle_alpha 60.00
_cell_angle_beta 60.00
_cell_angle_gamma 60.00
_symmetry_space_group_name_H-M 'P 1'
_symmetry_Int_Tables_number 1
loop_
_symmetry_equiv_pos_as_xyz
'x,y,z'
loop_
_atom_site_label
_atom_site_type_symbol
_atom_site_fract_x
_atom_site_fract_y
_atom_site_fract_z
O1 O 0.0000 0.0000 0.0000
Mn1 Mn 0.2500 0.2500 0.2500
Cd1 Cd 0.5000 0.5000 0.5000
Mn2 Mn 0.7500 0.7500 0.7500

7.
# MnCd2O3, optimized geometry, DFT PBE with a Hubbard U
# Total moment   10.0 Bohr magnetons per cell
# Polymorph energy (0 for the lowest one)   0.000 eV per formula unit
data_MnCd2O3
_cell_length_a 5.6958
_cell_length_b 6.2465
_cell_length_c 6.2465
_cell_angle_alpha 120.08
_cell_angle_beta 90.00
_cell_angle_gamma 90.00
_symmetry_space_group_name_H-M 'P 1'
_symmetry_Int_Tables_number 1
loop_
_symmetry_equiv_pos_as_xyz
'x,y,z'
loop_
_atom_site_label
_atom_site_type_symbol
_atom_site_fract_x
_atom_site_fract_y
_atom_site_fract_z
Cd1 Cd 0.5489 0.5057 0.8344
O1 O 0.9445 0.8328 0.5165
Cd2 Cd 0.0489 0.1656 0.4943
O2 O 0.9193 0.1482 0.1482
Cd3 Cd 0.0489 0.4943 0.1656
Cd4 Cd 0.5489 0.8344 0.5057
Mn1 Mn 0.0520 0.8369 0.8369
O3 O 0.4193 0.8518 0.8518
O4 O 0.4445 0.4835 0.1672
O5 O 0.9445 0.5165 0.8328
O6 O 0.4445 0.1672 0.4835
Mn2 Mn 0.5520 0.1631 0.1631

8.
# MnCdO2, optimized geometry, DFT PBE with a Hubbard U
# Total moment   10.0 Bohr magnetons per cell
# Total energy   -5.87 eV/atom
data_MnCdO2
_cell_length_a 4.9998
_cell_length_b 4.9998
_cell_length_c 6.1036
_cell_angle_alpha 65.82
_cell_angle_beta 65.82
_cell_angle_gamma 90.00
_symmetry_space_group_name_H-M 'P 1'
_symmetry_Int_Tables_number 1
loop_
_symmetry_equiv_pos_as_xyz
'x,y,z'
loop_
_atom_site_label
_atom_site_type_symbol
_atom_site_fract_x
_atom_site_fract_y
_atom_site_fract_z
O1 O 0.5995 0.1250 0.2500
Mn1 Mn 0.2500 0.7500 0.5000
Mn2 Mn 0.5000 0.5000 0.0000
Cd1 Cd 0.0000 0.0000 0.0000
Cd2 Cd 0.7500 0.2500 0.5000
O2 O 0.1505 0.6250 0.2500
O3 O 0.8750 0.8495 0.7500
O4 O 0.3750 0.4005 0.7500

9.
# MnCdO, optimized geometry, DFT PBE with a Hubbard U
# Total moment   19.9 Bohr magnetons per cell
# Total energy   -5.28 eV/atom
data_MnCdO
_cell_length_a 5.5920
_cell_length_b 5.5962
_cell_length_c 6.7540
_cell_angle_alpha 90.25
_cell_angle_beta 90.00
_cell_angle_gamma 90.00
_symmetry_space_group_name_H-M 'P 1'
_symmetry_Int_Tables_number 1
loop_
_symmetry_equiv_pos_as_xyz
'x,y,z'
loop_
_atom_site_label
_atom_site_type_symbol
_atom_site_fract_x
_atom_site_fract_y
_atom_site_fract_z
Mn1 Mn 0.5718 0.6852 0.6522
Mn2 Mn 0.4282 0.3148 0.3478
O1 O 0.4109 0.6903 0.3767
O2 O 0.5891 0.3097 0.6233
O3 O 0.0891 0.1903 0.3767
Cd1 Cd 0.1209 0.7099 0.9057
O4 O 0.9109 0.8097 0.6233
Cd2 Cd 0.3791 0.2099 0.9057
Mn3 Mn 0.9282 0.1852 0.6522
Mn4 Mn 0.0718 0.8148 0.3478
Cd3 Cd 0.6209 0.7901 0.0943
Cd4 Cd 0.8791 0.2901 0.0943

10.
# MnCd3O4, optimized geometry, DFT PBE with a Hubbard U
# Total moment   10.0 Bohr magnetons per cell
# Total energy   -4.92 eV/atom
data_MnCd3O4
_cell_length_a 5.7432
_cell_length_b 6.2714
_cell_length_c 7.2375
_cell_angle_alpha 90.00
_cell_angle_beta 90.00
_cell_angle_gamma 90.00
_symmetry_space_group_name_H-M 'P 1'
_symmetry_Int_Tables_number 1
loop_
_symmetry_equiv_pos_as_xyz
'x,y,z'
loop_
_atom_site_label
_atom_site_type_symbol
_atom_site_fract_x
_atom_site_fract_y
_atom_site_fract_z
Mn1 Mn 0.5062 0.8320 0.5000
O1 O 0.6147 0.6743 0.7386
Cd1 Cd 0.0066 0.6674 0.2491
Mn2 Mn 0.0062 0.1680 0.0000
O2 O 0.6147 0.6743 0.2614
O3 O 0.1147 0.3257 0.2386
Cd2 Cd 0.5066 0.3326 0.2509
Cd3 Cd 0.0066 0.6674 0.7509
O4 O 0.1147 0.3257 0.7614
O5 O 0.1433 0.8296 0.5000
O6 O 0.6158 0.1485 0.5000
O7 O 0.6433 0.1704 0.0000
O8 O 0.1158 0.8515 0.0000
Cd4 Cd 0.0074 0.1626 0.5000
Cd5 Cd 0.5074 0.8374 0.0000
Cd6 Cd 0.5066 0.3326 0.7491

11.
# MnCd4O5, optimized geometry, DFT PBE with a Hubbard U
# Total moment   10.0 Bohr magnetons per cell
# Polymorph energy (0 for the lowest one)   0.033 eV per formula unit
data_MnCd4O5
_cell_length_a 3.3376
_cell_length_b 7.4924
_cell_length_c 11.1011
_cell_angle_alpha 101.80
_cell_angle_beta 90.00
_cell_angle_gamma 102.87
_symmetry_space_group_name_H-M 'P 1'
_symmetry_Int_Tables_number 1
loop_
_symmetry_equiv_pos_as_xyz
'x,y,z'
loop_
_atom_site_label
_atom_site_type_symbol
_atom_site_fract_x
_atom_site_fract_y
_atom_site_fract_z
O1 O 0.4467 0.8935 0.8402
Cd1 Cd 0.3999 0.7998 0.2013
O2 O 0.6465 0.2930 0.4386
Cd2 Cd 0.1983 0.3966 0.5960
O3 O 0.7532 0.5064 0.7450
O4 O 0.5533 0.1065 0.1598
Cd3 Cd 0.2998 0.5996 0.8970
O5 O 0.2468 0.4936 0.2550
Mn1 Mn 0.0999 0.1998 0.2994
Cd4 Cd 0.0000 0.0000 0.0000
O6 O 0.3535 0.7070 0.5614
O7 O 0.0461 0.0921 0.6513
O8 O 0.8506 0.7013 0.0493
O9 O 0.9539 0.9079 0.3487
Cd5 Cd 0.6001 0.2002 0.7987
O10 O 0.1494 0.2987 0.9507
Cd6 Cd 0.8017 0.6034 0.4040
Cd7 Cd 0.5000 0.0000 0.5000
Cd8 Cd 0.7002 0.4004 0.1030
Mn2 Mn 0.9001 0.8002 0.7006

12.
# MnCdO2, optimized geometry, DFT PBE with a Hubbard U
# Total moment   20.0 Bohr magnetons per cell
# Total energy   -5.88 eV/atom
data_MnCdO2
_cell_length_a 5.6992
_cell_length_b 5.6812
_cell_length_c 7.3597
_cell_angle_alpha 104.94
_cell_angle_beta 105.04
_cell_angle_gamma 109.32
_symmetry_space_group_name_H-M 'P 1'
_symmetry_Int_Tables_number 1
loop_
_symmetry_equiv_pos_as_xyz
'x,y,z'
loop_
_atom_site_label
_atom_site_type_symbol
_atom_site_fract_x
_atom_site_fract_y
_atom_site_fract_z
O1 O 0.7101 0.4399 0.8749
O2 O 0.0522 0.3226 0.6250
O3 O 0.4272 0.1976 0.3750
Mn1 Mn 0.9371 0.1871 0.8742
O4 O 0.2899 0.5601 0.1251
Cd1 Cd 0.4385 0.6885 0.8770
O5 O 0.5728 0.8024 0.6250
O6 O 0.1648 0.9350 0.8749
Cd2 Cd 0.3135 0.0635 0.6270
O7 O 0.8352 0.0650 0.1251
Cd3 Cd 0.6865 0.9365 0.3730
Mn2 Mn 0.0629 0.8129 0.1258
Mn3 Mn 0.1879 0.4379 0.3759
Cd4 Cd 0.5615 0.3115 0.1230
O8 O 0.9478 0.6774 0.3750
Mn4 Mn 0.8121 0.5621 0.6241